InSI3 | PBE | optimized geometry

The structure belongs to space group Pm-3m (No. 221); the cell edges are 5.922, 5.922 and 5.922 Å and the angles 90.00°, 90.00° and 90.00°. The asymmetric unit holds In at (0.000, 0.000, 0.000), S at (0.500, 0.500, 0.500) and I at (0.000, 0.000, 0.500).

The value obtained for the energy above the most stable polymorph in this dataset is 348 meV/atom. The density of states at the Fermi level comes out at 4.57 states/eV/cell.

In2S2I | PBE | optimized geometry

The structure belongs to space group I4_1md (No. 109); the cell edges are 8.778, 8.778 and 9.823 Å and the angles 90.00°, 90.00° and 90.00°. The asymmetric unit holds In at (0.000, 0.304, 0.000), S at (0.000, 0.219, 0.750) and I at (0.000, 0.000, 0.127).

The value obtained for the energy above the most stable polymorph in this dataset is 48 meV/atom. The density of states at the Fermi level comes out at 13.55 states/eV/cell.

In2SI | PBE | optimized geometry

The structure belongs to space group R-3m (No. 166, hexagonal axes); the cell edges are 4.3287, 4.3287 and 22.6536 Å and the angles 90.00°, 90.00° and 120.00°. The asymmetric unit holds In at (0.0000, 0.0000, 0.2330), S at (0.0000, 0.0000, 0.5000) and I at (0.0000, 0.0000, 0.0000).

The value obtained for the energy above the most stable polymorph in this dataset is 55 meV/atom. The density of states at the Fermi level comes out at 7.19 states/eV/cell.

InS2I | PBE | optimized geometry

The structure belongs to space group Fm-3m (No. 225); the cell edges are 7.107, 7.107 and 7.107 Å and the angles 90.00°, 90.00° and 90.00°. The asymmetric unit holds In at (0.000, 0.000, 0.000), S at (0.250, 0.250, 0.250) and I at (0.000, 0.000, 0.500).

The value obtained for the energy above the most stable polymorph in this dataset is 749 meV/atom. The density of states at the Fermi level comes out at 13.66 states/eV/cell.

InS3I | PBE | optimized geometry

The structure belongs to space group Pm-3m (No. 221); the cell edges are 5.052, 5.052 and 5.052 Å and the angles 90.00°, 90.00° and 90.00°. The asymmetric unit holds In at (0.000, 0.000, 0.000), S at (0.000, 0.000, 0.500) and I at (0.500, 0.500, 0.500).

The value obtained for the energy above the most stable polymorph in this dataset is 788 meV/atom. The density of states at the Fermi level comes out at 6.24 states/eV/cell.

InSI | PBE | optimized geometry

The structure belongs to space group Cm (No. 8); the cell edges are 15.577, 4.013 and 8.151 Å and the angles 90.00°, 120.82° and 90.00°. The asymmetric unit holds In at (0.000, 0.000, 0.000), In at (0.195, 0.500, 0.035), S at (0.085, 0.500, 0.204), S at (0.090, 0.000, 0.817), I at (0.296, 0.500, 0.775) and I at (0.342, 0.000, 0.297).

InS5I | PBE | optimized geometry

The structure belongs to space group P1 (No. 1); the cell edges are 4.067, 6.399 and 8.980 Å and the angles 102.65°, 94.50° and 104.00°. The asymmetric unit holds In at (0.000, 0.000, 0.000), S at (0.135, 0.671, 0.820), S at (0.412, 0.697, 0.234), S at (0.517, 0.014, 0.205), S at (0.656, 0.261, 0.936), S at (0.749, 0.382, 0.746) and I at (0.258, 0.716, 0.495).

InS6I2 | PBE | optimized geometry

The structure belongs to space group P-1 (No. 2); the cell edges are 4.338, 8.574 and 8.601 Å and the angles 111.89°, 90.34° and 90.78°. The asymmetric unit holds In at (0.000, 0.000, 0.000), S at (0.086, 0.484, 0.717), S at (0.092, 0.717, 0.484), S at (0.132, 0.314, 0.315) and I at (0.498, 0.844, 0.153).

The density of states at the Fermi level comes out at 3.35 states/eV/cell.

Number 1: formation energy without anion corrections 0.350 eV per atom. Number 2: formation energy without anion corrections -0.361 eV per atom. Number 3: formation energy without anion corrections -0.330 eV per atom. Number 4: formation energy without anion corrections 0.490 eV per atom. Number 5: formation energy without anion corrections 0.588 eV per atom. Number 6: formation energy without anion corrections -0.496 eV per atom. Number 7: formation energy without anion corrections -0.024 eV per atom. Number 8: formation energy without anion corrections -0.056 eV per atom.